No. 1
# HgO, optimized geometry, DFT PBE
data_HgO
_cell_length_a 3.773
_cell_length_b 3.780
_cell_length_c 5.251
_cell_angle_alpha 90.00
_cell_angle_beta 90.00
_cell_angle_gamma 90.00
_space_group_name_H-M_alt 'I m m 2'
_space_group_IT_number 44
_space_group_name_Hall 'I 2 -2'
loop_
_atom_site_label
_atom_site_type_symbol
_atom_site_fract_x
_atom_site_fract_y
_atom_site_fract_z
Hg1 Hg 0.000 0.000 0.000
O1 O 0.000 0.500 0.751
# Density of states at the Fermi level in states/eV/f.u.: 0.4
# V in Å³ per atom: 18.73
# Spin magnetization in μB per formula unit: 0.000
# Raw formation energy in meV per atom: -183

No. 2
# HgO, optimized geometry, DFT PBE
data_HgO
_cell_length_a 4.935
_cell_length_b 4.935
_cell_length_c 4.935
_cell_angle_alpha 90.00
_cell_angle_beta 90.00
_cell_angle_gamma 90.00
_space_group_name_H-M_alt 'F m -3 m'
_space_group_IT_number 225
_space_group_name_Hall '-F 4 2 3'
loop_
_atom_site_label
_atom_site_type_symbol
_atom_site_fract_x
_atom_site_fract_y
_atom_site_fract_z
Hg1 Hg 0.000 0.000 0.000
O1 O 0.000 0.000 0.500
# Density of states at the Fermi level in states/eV/f.u.: 0.8
# V in Å³ per atom: 15.03
# Spin magnetization in μB per formula unit: 0.000
# Raw formation energy in meV per atom: -141

No. 3
# HgO, optimized geometry, DFT PBE
data_HgO
_cell_length_a 9.125
_cell_length_b 9.125
_cell_length_c 4.127
_cell_angle_alpha 90.00
_cell_angle_beta 90.00
_cell_angle_gamma 90.00
_space_group_name_H-M_alt 'I 4/m'
_space_group_IT_number 87
_space_group_name_Hall '-I 4'
loop_
_atom_site_label
_atom_site_type_symbol
_atom_site_fract_x
_atom_site_fract_y
_atom_site_fract_z
Hg1 Hg 0.089 0.239 0.000
O1 O 0.132 0.705 0.000
# V in Å³ per atom: 21.48
# Spin magnetization in μB per formula unit: 0.000
# Raw formation energy in meV per atom: -248

No. 4
# HgO, optimized geometry, DFT PBE
data_HgO
_cell_length_a 6.078
_cell_length_b 10.220
_cell_length_c 3.718
_cell_angle_alpha 90.00
_cell_angle_beta 90.00
_cell_angle_gamma 90.00
_space_group_name_H-M_alt 'P m m n'
_space_group_IT_number 59
loop_
_space_group_symop_operation_xyz
'x,y,z'
'-x,-y,-z'
'-x+1/2,-y+1/2,z'
'x+1/2,y+1/2,-z'
'x+1/2,-y,-z'
'-x+1/2,y,z'
'-x,y+1/2,-z'
'x,-y+1/2,z'
loop_
_atom_site_label
_atom_site_type_symbol
_atom_site_fract_x
_atom_site_fract_y
_atom_site_fract_z
Hg1 Hg 0.250 0.087 0.241
Hg2 Hg 0.250 0.750 0.563
O1 O 0.250 0.250 0.910
O2 O 0.250 0.554 0.641
# V in Å³ per atom: 19.25
# Spin magnetization in μB per formula unit: 0.000
# Raw formation energy in meV per atom: -235

No. 5
# HgO, optimized geometry, DFT PBE
data_HgO
_cell_length_a 6.502
_cell_length_b 6.502
_cell_length_c 6.502
_cell_angle_alpha 90.00
_cell_angle_beta 90.00
_cell_angle_gamma 90.00
_space_group_name_H-M_alt 'P m -3 n'
_space_group_IT_number 223
_space_group_name_Hall '-P 4n 2 3'
loop_
_atom_site_label
_atom_site_type_symbol
_atom_site_fract_x
_atom_site_fract_y
_atom_site_fract_z
Hg1 Hg 0.000 0.250 0.500
O1 O 0.000 0.500 0.250
# Density of states at the Fermi level in states/eV/f.u.: 0.5
# V in Å³ per atom: 22.91
# Spin magnetization in μB per formula unit: 0.000
# Raw formation energy in meV per atom: -162

No. 6
# HgO, optimized geometry, DFT PBE
data_HgO
_cell_length_a 3.7539
_cell_length_b 3.7539
_cell_length_c 8.9588
_cell_angle_alpha 90.00
_cell_angle_beta 90.00
_cell_angle_gamma 120.00
_space_group_name_H-M_alt 'P 31 2 1'
_space_group_IT_number 152
_space_group_name_Hall 'P 31 2"'
loop_
_atom_site_label
_atom_site_type_symbol
_atom_site_fract_x
_atom_site_fract_y
_atom_site_fract_z
Hg1 Hg 0.0000 0.2274 0.1667
O1 O 0.0000 0.5608 0.6667
# V in Å³ per atom: 18.22
# Spin magnetization in μB per formula unit: 0.000
# Raw formation energy in meV per atom: -284